Entry from the Alexandria database: a relaxed GaAgMoO5 crystal (PBE+U).

abc: 7.2956 9.3128 7.0826
angles: 90.00 111.34 90.00
Closest atoms and distances in Å follow each position.
Space group C2/c (No. 15)
One atom of each set of equivalent atoms:
1 Ga 0.0000 0.0000 0.0000 x4  2 O 1.86
2 Ag 0.0000 0.3096 0.2500 x4  3 O 2.32-2.50
3 Mo 0.0000 0.3335 0.7500 x4  4 O 1.80
4 O 0.0000 0.0605 0.2500 x4  2 Ga 1.86
5 O 0.0886 0.2139 0.6022 x8  1 Mo 1.80
6 O 0.1970 0.4435 0.9135 x8  1 Mo 1.80

For the total energy, the calculation gives -191.956 eV/cell.